--- w ---
The following is a DFT calculation (GGA-PBE) of Ag2SnBr6 after structural relaxation.

a b c (Å): 6.6996 6.6996 12.3152
angles (deg): 90.00 90.00 90.00
Space group P4_2/mnm (No. 136)
Asymmetric unit:
1 Ag 0.0000 0.0000 0.1650 x4
2 Sn 0.0000 0.0000 0.5000 x2
3 Br 0.1936 0.1936 0.3418 x8
4 Br 0.2127 0.2127 0.0000 x4

--- x ---
The following is a DFT calculation (GGA-PBE) of Ag2SnBr6 after structural relaxation.

a b c (Å): 16.8077 13.7987 6.9302
angles (deg): 90.00 111.54 90.00
Space group C2/c (No. 15)
Asymmetric unit:
1 Ag 0.2184 0.0016 0.3987 x8
2 Sn 0.0000 0.2856 0.2500 x4
3 Br 0.0737 0.1824 0.5581 x8
4 Br 0.1058 0.3930 0.1796 x8
5 Br 0.2155 0.1306 0.1427 x8

Order of stability, best first: x, w

--- w ---
The following is a DFT calculation (GGA-PBE) of Ag2Sn2Br after structural relaxation.

a b c (Å): 4.3601 4.3601 13.8011
angles (deg): 90.00 90.00 90.00
Space group I4/mmm (No. 139)
Asymmetric unit:
1 Ag 0.0000 0.0000 0.1038 x4
2 Sn 0.0000 0.5000 0.2500 x4
3 Br 0.0000 0.0000 0.5000 x2

--- x ---
The following is a DFT calculation (GGA-PBE) of Ag2Sn2Br after structural relaxation.

a b c (Å): 4.1259 4.1259 14.8616
angles (deg): 90.00 90.00 90.00
Space group I4/mmm (No. 139)
Asymmetric unit:
1 Ag 0.0000 0.5000 0.2500 x4
2 Sn 0.0000 0.0000 0.1078 x4
3 Br 0.0000 0.0000 0.5000 x2

--- y ---
The following is a DFT calculation (GGA-PBE) of Ag2Sn2Br after structural relaxation.

a b c (Å): 8.3292 8.3292 3.5149
angles (deg): 90.00 90.00 90.00
Space group P4/mbm (No. 127)
Asymmetric unit:
1 Ag 0.1655 0.3345 0.0000 x4
2 Sn 0.1304 0.6304 0.5000 x4
3 Br 0.0000 0.0000 0.0000 x2

Order of stability, best first: y, x, w